The following is a DFT calculation (PBE) of an optimized crystal structure of LaSi2Bi2Pt7. Values from VASP.

ρ: 13.16 g/cm³
Uncorrected formation energy: -58 kJ/mol of atoms

Geometry as Quantum ESPRESSO input:
```
&SYSTEM
  ibrav = 0, nat = 12, ntyp = 4
/
ATOMIC_SPECIES
Pt 195.08 Pt.upf
La 138.91 La.upf
Si 28.09 Si.upf
Bi 208.98 Bi.upf
ATOMIC_POSITIONS crystal
Pt 0.424 0.924 0.153
La 0.000 0.000 0.000
Pt 0.076 0.576 0.847
Si 0.619 0.619 0.761
Pt 0.304 0.304 0.392
Pt 0.924 0.424 0.153
Pt 0.696 0.696 0.608
Pt 0.576 0.076 0.847
Bi 0.790 0.790 0.420
Pt 0.500 0.500 0.000
Si 0.381 0.381 0.239
Bi 0.210 0.210 0.580
CELL_PARAMETERS angstrom
4.043 -0.002 -0.004
0.003 4.043 -0.004
2.036 2.033 15.274
```